one | PBE Na2InBr5, optimized geometry; M_tot = 0.0 Bohr magnetons per cell; SG = Cmcm
1.0
2.900 -7.166 0.000
2.900 7.166 0.000
0.000 0.000 13.496
Na In Br
4 2 10
Direct
0.159 0.841 0.572 Na
0.159 0.841 0.928 Na
0.841 0.159 0.072 Na
0.841 0.159 0.428 Na
0.184 0.816 0.250 In
0.816 0.184 0.750 In
0.053 0.947 0.113 Br
0.053 0.947 0.387 Br
0.288 0.712 0.750 Br
0.314 0.686 0.104 Br
0.314 0.686 0.396 Br
0.686 0.314 0.604 Br
0.686 0.314 0.896 Br
0.712 0.288 0.250 Br
0.947 0.053 0.613 Br
0.947 0.053 0.887 Br

=====

two | PBE Na2InBr5, optimized geometry; M_tot = 0.3 Bohr magnetons per cell; SG = Pnnm
1.0
12.287 0.000 0.000
0.000 12.631 0.000
0.000 0.000 8.723
Na In Br
8 4 20
Direct
0.000 0.000 0.220 Na
0.000 0.000 0.780 Na
0.125 0.343 0.000 Na
0.375 0.843 0.500 Na
0.500 0.500 0.280 Na
0.500 0.500 0.720 Na
0.625 0.157 0.500 Na
0.875 0.657 0.000 Na
0.250 0.242 0.500 In
0.250 0.742 0.000 In
0.750 0.258 0.000 In
0.750 0.758 0.500 In
0.063 0.153 0.500 Br
0.097 0.130 0.000 Br
0.110 0.591 0.000 Br
0.224 0.862 0.233 Br
0.224 0.862 0.767 Br
0.276 0.362 0.267 Br
0.276 0.362 0.733 Br
0.390 0.091 0.500 Br
0.403 0.630 0.500 Br
0.437 0.653 0.000 Br
0.563 0.347 0.000 Br
0.597 0.370 0.500 Br
0.610 0.909 0.500 Br
0.724 0.638 0.267 Br
0.724 0.638 0.733 Br
0.776 0.138 0.233 Br
0.776 0.138 0.767 Br
0.890 0.409 0.000 Br
0.903 0.870 0.000 Br
0.937 0.847 0.500 Br

=====

Going by the energies, one is most stable and the next is 7 meV/atom up.